# 1
## Co2RhAu (GGA-PBE)

Data for a relaxed structure of Co2RhAu.

Summary:
Theoretical density: 12.301 g/cm³
SG: No. 216
Energy relative to the elements: 0.315 eV per atom
Energy: -5.89 eV per atom

Unit cell a=6.087 b=6.087 c=6.087 alpha=90.00 beta=90.00 gamma=90.00
Positions (direct):
1 Co 0.000 0.000 0.000
2 Co 0.000 0.500 0.500
3 Co 0.250 0.250 0.250
4 Co 0.250 0.750 0.750
5 Co 0.500 0.000 0.500
6 Co 0.500 0.500 0.000
7 Co 0.750 0.250 0.750
8 Co 0.750 0.750 0.250
9 Rh 0.250 0.250 0.750
10 Rh 0.250 0.750 0.250
11 Rh 0.750 0.250 0.250
12 Rh 0.750 0.750 0.750
13 Au 0.000 0.000 0.500
14 Au 0.000 0.500 0.000
15 Au 0.500 0.000 0.000
16 Au 0.500 0.500 0.500

# 2
## Nd5IrSe4 (GGA-PBE)

Data for a relaxed structure of Nd5IrSe4.

Summary:
Theoretical density: 7.620 g/cm³
ΔE_f (raw): -1.584 eV/atom
SG: No. 139
Energy: -6.25 eV per atom

Unit cell a=15.289 b=15.289 c=15.289 alpha=164.11 beta=164.11 gamma=22.54
Positions (direct):
1 Nd 0.000 0.000 0.000
2 Nd 0.204 0.204 0.000
3 Nd 0.407 0.407 0.000
4 Nd 0.593 0.593 0.000
5 Nd 0.796 0.796 0.000
6 Ir 0.500 0.500 0.000
7 Se 0.103 0.103 0.000
8 Se 0.305 0.305 0.000
9 Se 0.695 0.695 0.000
10 Se 0.897 0.897 0.000

# 3
## Sm5TlSn2 (GGA-PBE)

Data for a relaxed structure of Sm5TlSn2.

Summary:
Excess energy over the best structure of this formula in the dataset: 0.0 kJ/mol of atoms
Theoretical density: 8.068 g/cm³
SG: No. 140
Energy relative to the elements: -0.534 eV per atom
Energy: -4.78 eV per atom

Unit cell a=9.277 b=9.277 c=9.277 alpha=127.17 beta=127.17 gamma=77.97
Positions (direct):
1 Sm 0.000 0.000 0.000
2 Sm 0.016 0.516 0.829
3 Sm 0.187 0.016 0.500
4 Sm 0.313 0.813 0.829
5 Sm 0.484 0.313 0.500
6 Sm 0.500 0.500 0.000
7 Sm 0.516 0.687 0.500
8 Sm 0.687 0.187 0.171
9 Sm 0.813 0.984 0.500
10 Sm 0.984 0.484 0.171
11 Tl 0.250 0.250 0.000
12 Tl 0.750 0.750 0.000
13 Sn 0.135 0.365 0.500
14 Sn 0.365 0.865 0.229
15 Sn 0.635 0.135 0.771
16 Sn 0.865 0.635 0.500